! YBeVF2 PBE with a Hubbard U relaxed; values from VASP
! - calculated total energy (eV per cell) = -23.29
! - Fermi-level density of states (states/eV/f.u.) = 1.56
&SYSTEM
  ibrav = 0, nat = 5, ntyp = 4
/
ATOMIC_SPECIES
Y 88.91 Y.upf
Be 9.01 Be.upf
V 50.94 V.upf
F 19.00 F.upf
CELL_PARAMETERS angstrom
3.7036 0.0000 0.0000
0.0000 3.7036 0.0000
0.0000 0.0000 8.3537
ATOMIC_POSITIONS crystal
Y 0.0000 0.0000 0.0000
Be 0.0000 0.0000 0.5000
V 0.5000 0.5000 0.0000
F 0.0000 0.5000 0.5000
F 0.5000 0.0000 0.5000